[1]
## Tb2PrOs (GGA-PBE)

Data for Tb2PrOs after structural relaxation.

```
data_Tb2PrOs
_chemical_formula_sum 'Tb8 Pr4 Os4'
_symmetry_space_group_name_H-M 'P 1'
_symmetry_Int_Tables_number 1
_cell_length_a 7.480
_cell_length_b 9.243
_cell_length_c 6.474
_cell_angle_alpha 90.00
_cell_angle_beta 90.00
_cell_angle_gamma 90.00
loop_
_symmetry_equiv_pos_as_xyz
'x,y,z'
loop_
_atom_site_label
_atom_site_fract_x
_atom_site_fract_y
_atom_site_fract_z
_atom_site_occupancy
Tb1 0.174 0.065 0.166 1
Tb2 0.174 0.435 0.166 1
Tb3 0.326 0.565 0.666 1
Tb4 0.326 0.935 0.666 1
Tb5 0.674 0.065 0.334 1
Tb6 0.674 0.435 0.334 1
Tb7 0.826 0.565 0.834 1
Tb8 0.826 0.935 0.834 1
Pr1 0.040 0.250 0.631 1
Pr2 0.460 0.750 0.131 1
Pr3 0.540 0.250 0.869 1
Pr4 0.960 0.750 0.369 1
Os1 0.115 0.750 0.946 1
Os2 0.385 0.250 0.446 1
Os3 0.615 0.750 0.554 1
Os4 0.885 0.250 0.054 1
```

Output
The calculation puts the calculated density at 9.63 g/cm³. As for the symmetry: Pnma, No. 62. As for the formation energy: -0.71 eV/f.u. As for the crystal system: orthorhombic.

[2]
## Tb2PrOs (GGA-PBE)

Data for Tb2PrOs after structural relaxation.

```
data_Tb2PrOs
_chemical_formula_sum 'Tb2 Pr1 Os1'
_symmetry_space_group_name_H-M 'P 1'
_symmetry_Int_Tables_number 1
_cell_length_a 3.439
_cell_length_b 3.439
_cell_length_c 9.424
_cell_angle_alpha 90.00
_cell_angle_beta 90.00
_cell_angle_gamma 90.00
loop_
_symmetry_equiv_pos_as_xyz
'x,y,z'
loop_
_atom_site_label
_atom_site_fract_x
_atom_site_fract_y
_atom_site_fract_z
_atom_site_occupancy
Tb1 0.000 0.000 0.176 1
Tb2 0.000 0.000 0.824 1
Pr1 0.500 0.500 0.500 1
Os1 0.500 0.500 0.000 1
```

Output
The calculation puts the calculated density at 9.67 g/cm³. As for the symmetry: P4/mmm, No. 123. As for the formation energy: -0.43 eV/f.u. As for the crystal system: tetragonal.

[3]
## TbPrZnOs (GGA-PBE)

Data for TbPrZnOs after structural relaxation.

```
data_TbPrZnOs
_chemical_formula_sum 'Tb1 Pr1 Zn1 Os1'
_symmetry_space_group_name_H-M 'P 1'
_symmetry_Int_Tables_number 1
_cell_length_a 5.027
_cell_length_b 5.027
_cell_length_c 5.027
_cell_angle_alpha 60.00
_cell_angle_beta 60.00
_cell_angle_gamma 60.00
loop_
_symmetry_equiv_pos_as_xyz
'x,y,z'
loop_
_atom_site_label
_atom_site_fract_x
_atom_site_fract_y
_atom_site_fract_z
_atom_site_occupancy
Tb1 0.000 0.000 0.000 1
Pr1 0.500 0.500 0.500 1
Zn1 0.750 0.750 0.750 1
Os1 0.250 0.250 0.250 1
```

Output
The calculation puts the calculated density at 10.27 g/cm³. As for the symmetry: F-43m, No. 216. As for the formation energy: -0.59 eV/f.u. As for the crystal system: cubic.

[4]
## Pr2TeOs (GGA-PBE)

Data for Pr2TeOs after structural relaxation.

```
data_Pr2TeOs
_chemical_formula_sum 'Pr2 Te1 Os1'
_symmetry_space_group_name_H-M 'P 1'
_symmetry_Int_Tables_number 1
_cell_length_a 7.850
_cell_length_b 7.850
_cell_length_c 7.850
_cell_angle_alpha 31.87
_cell_angle_beta 31.87
_cell_angle_gamma 31.87
loop_
_symmetry_equiv_pos_as_xyz
'x,y,z'
loop_
_atom_site_label
_atom_site_fract_x
_atom_site_fract_y
_atom_site_fract_z
_atom_site_occupancy
Pr1 0.237 0.237 0.237 1
Pr2 0.763 0.763 0.763 1
Te1 0.000 0.000 0.000 1
Os1 0.500 0.500 0.500 1
```

Output
The calculation puts the calculated density at 8.31 g/cm³. As for the symmetry: R-3m, No. 166. As for the formation energy from raw total energies: -454 meV per atom. As for the crystal system: trigonal.

[5]
## PrTeOs (GGA-PBE)

Data for PrTeOs after structural relaxation.

```
data_PrTeOs
_chemical_formula_sum 'Pr2 Te2 Os2'
_symmetry_space_group_name_H-M 'P 1'
_symmetry_Int_Tables_number 1
_cell_length_a 11.972
_cell_length_b 3.898
_cell_length_c 3.898
_cell_angle_alpha 60.25
_cell_angle_beta 90.00
_cell_angle_gamma 90.00
loop_
_symmetry_equiv_pos_as_xyz
'x,y,z'
loop_
_atom_site_label
_atom_site_fract_x
_atom_site_fract_y
_atom_site_fract_z
_atom_site_occupancy
Pr1 0.151 0.000 0.000 1
Pr2 0.849 0.000 0.000 1
Te1 0.371 0.334 0.334 1
Te2 0.629 0.334 0.334 1
Os1 0.000 0.335 0.335 1
Os2 0.500 0.000 0.000 1
```

Output
The calculation puts the calculated density at 9.65 g/cm³. As for the symmetry: Amm2, No. 38. As for the formation energy from raw total energies: 141 meV per atom. As for the crystal system: orthorhombic.

[6]
## Pr2Th3Os2 (GGA-PBE)

Data for Pr2Th3Os2 after structural relaxation.

```
data_Pr2Th3Os2
_chemical_formula_sum 'Pr2 Th3 Os2'
_symmetry_space_group_name_H-M 'P 1'
_symmetry_Int_Tables_number 1
_cell_length_a 6.528
_cell_length_b 6.528
_cell_length_c 8.962
_cell_angle_alpha 114.92
_cell_angle_beta 114.92
_cell_angle_gamma 35.60
loop_
_symmetry_equiv_pos_as_xyz
'x,y,z'
loop_
_atom_site_label
_atom_site_fract_x
_atom_site_fract_y
_atom_site_fract_z
_atom_site_occupancy
Pr1 0.160 0.160 0.308 1
Pr2 0.840 0.840 0.692 1
Th1 0.378 0.378 0.057 1
Th2 0.500 0.500 0.500 1
Th3 0.622 0.622 0.943 1
Os1 0.153 0.153 0.741 1
Os2 0.847 0.847 0.259 1
```

Output
The calculation puts the calculated density at 11.31 g/cm³. As for the symmetry: C2/m, No. 12. As for the formation energy: -1.52 eV/f.u. As for the crystal system: monoclinic.

[7]
## Pr3ThOs8 (GGA-PBE)

Data for Pr3ThOs8 after structural relaxation.

```
data_Pr3ThOs8
_chemical_formula_sum 'Pr3 Th1 Os8'
_symmetry_space_group_name_H-M 'P 1'
_symmetry_Int_Tables_number 1
_cell_length_a 9.452
_cell_length_b 9.452
_cell_length_c 9.452
_cell_angle_alpha 33.65
_cell_angle_beta 33.65
_cell_angle_gamma 33.65
loop_
_symmetry_equiv_pos_as_xyz
'x,y,z'
loop_
_atom_site_label
_atom_site_fract_x
_atom_site_fract_y
_atom_site_fract_z
_atom_site_occupancy
Pr1 0.000 0.000 0.000 1
Pr2 0.125 0.125 0.125 1
Pr3 0.626 0.626 0.626 1
Th1 0.500 0.500 0.500 1
Os1 0.057 0.567 0.567 1
Os2 0.067 0.067 0.556 1
Os3 0.067 0.556 0.067 1
Os4 0.317 0.317 0.317 1
Os5 0.556 0.067 0.067 1
Os6 0.567 0.057 0.567 1
Os7 0.567 0.567 0.057 1
Os8 0.816 0.816 0.816 1
```

Output
The calculation puts the calculated density at 15.65 g/cm³. As for the symmetry: R3m, No. 160. As for the formation energy: -1.03 eV/f.u. As for the crystal system: trigonal.

[8]
## PrThTlOs (GGA-PBE)

Data for PrThTlOs after structural relaxation.

```
data_PrThTlOs
_chemical_formula_sum 'Pr1 Th1 Tl1 Os1'
_symmetry_space_group_name_H-M 'P 1'
_symmetry_Int_Tables_number 1
_cell_length_a 4.162
_cell_length_b 4.162
_cell_length_c 8.510
_cell_angle_alpha 104.22
_cell_angle_beta 104.22
_cell_angle_gamma 59.97
loop_
_symmetry_equiv_pos_as_xyz
'x,y,z'
loop_
_atom_site_label
_atom_site_fract_x
_atom_site_fract_y
_atom_site_fract_z
_atom_site_occupancy
Pr1 0.000 0.000 0.000 1
Th1 0.791 0.791 0.374 1
Tl1 0.229 0.229 0.687 1
Os1 0.402 0.402 0.204 1
```

Output
The calculation puts the calculated density at 10.41 g/cm³. As for the symmetry: Cm, No. 8. As for the formation energy: -0.64 eV/f.u. As for the crystal system: monoclinic.